{"formula": "LiBePt", "functional": "GGA-PBEsol", "state": "relaxed", "lattice_angstrom": [[1.376, -6.481, 0.000], [1.376, 6.481, 0.000], [0.000, 0.000, 3.867]], "species": ["Li", "Li", "Be", "Be", "Pt", "Pt"], "fractional_positions": [[0.227, 0.773, 0.750], [0.773, 0.227, 0.250], [0.440, 0.560, 0.250], [0.560, 0.440, 0.750], [0.091, 0.909, 0.250], [0.909, 0.091, 0.750]], "polymorph_energy_mev_per_atom": 0, "spacegroup": "No. 63", "delta_e_f_ev_per_atom": -0.6133, "energy_ev_per_atom": -4.92, "vol_a3_per_atom": 11.49}


{"formula": "LiBe2Pt2", "functional": "GGA-PBEsol", "state": "relaxed", "lattice_angstrom": [[6.541, 0.000, 0.000], [0.000, 6.541, 0.000], [0.000, 0.000, 2.726]], "species": ["Li", "Li", "Be", "Be", "Be", "Be", "Pt", "Pt", "Pt", "Pt"], "fractional_positions": [[0.000, 0.000, 0.000], [0.500, 0.500, 0.000], [0.128, 0.372, 0.000], [0.372, 0.872, 0.000], [0.628, 0.128, 0.000], [0.872, 0.628, 0.000], [0.166, 0.666, 0.500], [0.334, 0.166, 0.500], [0.666, 0.834, 0.500], [0.834, 0.334, 0.500]], "spacegroup": "No. 127", "delta_e_f_ev_per_atom": -0.7172, "energy_ev_per_atom": -5.50, "vol_a3_per_atom": 11.66}


{"formula": "Li2BePt2", "functional": "GGA-PBEsol", "state": "relaxed", "lattice_angstrom": [[5.829, 0.000, 0.000], [0.000, 5.829, 0.000], [0.000, 0.000, 4.061]], "species": ["Li", "Li", "Li", "Li", "Be", "Be", "Pt", "Pt", "Pt", "Pt"], "fractional_positions": [[0.160, 0.340, 0.000], [0.340, 0.840, 0.000], [0.660, 0.160, 0.000], [0.840, 0.660, 0.000], [0.000, 0.000, 0.500], [0.500, 0.500, 0.500], [0.156, 0.656, 0.500], [0.344, 0.156, 0.500], [0.656, 0.844, 0.500], [0.844, 0.344, 0.500]], "spacegroup": "No. 127", "delta_e_f_ev_per_atom": -0.5050, "energy_ev_per_atom": -4.88, "vol_a3_per_atom": 13.80}